(1)
Entry from Alexandria via LeMat-Bulk: a relaxed structure of SmNiBi2 (PBE).

extended XYZ file:
```
4
Lattice="3.5539 0.0000 0.0000 1.7770 3.0778 0.0000 1.7770 1.0259 10.0514" Properties=species:S:1:pos:R:3 pbc="T T T"
Ni 3.5539 2.0518 5.0257
Bi 1.7770 1.0259 6.8031
Bi 5.3308 3.0778 3.2483
Sm 0.0000 0.0000 0.0000
```

Values from the calculation:
Energy relative to the elements ... 0.078 eV/atom


(2)
Entry from Alexandria via LeMat-Bulk: a relaxed structure of NiSnBi3 (PBE).

extended XYZ file:
```
5
Lattice="-3.1788 -1.7444 3.7709 0.3022 -4.8325 -1.9807 4.1438 -0.9857 3.0372" Properties=species:S:1:pos:R:3 pbc="T T T"
Ni 0.0000 0.0000 0.0000
Bi 0.1511 -2.4162 -0.9903
Bi 2.0719 -0.4928 1.5186
Bi -1.5894 -0.8722 1.8854
Sn 0.6336 -3.7813 2.4137
```

Values from the calculation:
Excess energy over the best structure of this formula in the dataset ... 260 meV/atom
Energy relative to the elements ... 0.281 eV/atom